Entry A
First-principles (PBE-GGA) data for crystalline ThBePt at its relaxed geometry, as listed in the Alexandria database.

```
3
Lattice="-0.624 -2.671 2.755 -2.573 -2.067 -2.587 4.094 -0.906 0.050" Properties=species:S:1:pos:R:3 pbc="T T T"
Be -0.455 -2.125 -1.249
Pt -0.104 -0.445 0.459
Th 1.455 -3.073 1.008
```

Output
SG: No. 187

---

Entry B
First-principles (PBE-GGA) data for crystalline ThBePt at its relaxed geometry, as listed in the Alexandria database.

```
6
Lattice="-2.772 1.531 -2.769 -1.134 -0.581 4.009 2.283 7.184 1.688" Properties=species:S:1:pos:R:3 pbc="T T T"
Be 0.032 5.511 3.016
Th 0.000 0.000 0.000
Th 1.141 3.592 0.844
Pt -0.514 6.215 0.756
Pt -1.109 1.919 2.171
Be -1.655 2.623 -0.088
```

Output
SG: No. 194

---

entry B is favored, and the nearest alternative lies 1.4 kJ/mol of atoms above it.

---

Entry A
First-principles (PBE-GGA) data for crystalline Ti3BePt at its relaxed geometry, as listed in the Alexandria database.

```
5
Lattice="4.298 0.000 0.000 0.000 4.298 0.000 0.000 0.000 4.298" Properties=species:S:1:pos:R:3 pbc="T T T"
Ti 0.000 2.149 0.000
Ti 2.149 0.000 0.000
Be 0.000 0.000 0.000
Pt 2.149 2.149 2.149
Ti 0.000 0.000 2.149
```

Output
SG: No. 221

---

Entry B
First-principles (PBE-GGA) data for crystalline Ti3BePt at its relaxed geometry, as listed in the Alexandria database.

```
5
Lattice="4.775 0.000 0.000 0.000 4.775 0.000 0.000 0.000 4.775" Properties=species:S:1:pos:R:3 pbc="T T T"
Be 2.387 2.387 2.387
Ti 2.387 0.000 0.000
Ti 0.000 2.387 0.000
Ti 0.000 0.000 2.387
Pt 0.000 0.000 0.000
```

Output
SG: No. 221

---

entry A is favored, and the nearest alternative lies 54.6 kJ/mol of atoms above it.

---

Entry A
First-principles (PBE-GGA) data for crystalline Be3TlPt at its relaxed geometry, as listed in the Alexandria database.

```
5
Lattice="-1.436 4.148 0.568 -2.230 -1.266 3.608 3.544 0.884 2.500" Properties=species:S:1:pos:R:3 pbc="T T T"
Be 1.772 0.442 1.250
Pt -0.061 1.883 3.338
Be -0.718 2.074 0.284
Tl 0.000 0.000 0.000
Be -1.115 -0.633 1.804
```

Output
SG: No. 221

---

Entry B
First-principles (PBE-GGA) data for crystalline Be3TlPt at its relaxed geometry, as listed in the Alexandria database.

```
5
Lattice="-3.702 -2.036 -1.207 1.663 -3.832 1.364 -1.685 0.692 3.999" Properties=species:S:1:pos:R:3 pbc="T T T"
Be -0.842 0.346 2.000
Be 0.832 -1.916 0.682
Tl -1.862 -2.588 2.078
Pt 0.000 0.000 0.000
Be -1.851 -1.018 -0.604
```

Output
SG: No. 221

---

entry B is favored, and the nearest alternative lies 107.7 kJ/mol of atoms above it.

---

Entry A
First-principles (PBE-GGA) data for crystalline Be2TlPt at its relaxed geometry, as listed in the Alexandria database.

```
4
Lattice="-4.896 4.518 -0.515 -5.620 0.974 -3.480 4.189 -3.345 3.989" Properties=species:S:1:pos:R:3 pbc="T T T"
Be -4.238 0.654 -1.083
Be -10.327 5.393 -3.923
Pt -5.047 2.636 -1.917
Tl -2.489 1.701 0.926
```

Output
SG: No. 44

---

Entry B
First-principles (PBE-GGA) data for crystalline Be2TlPt at its relaxed geometry, as listed in the Alexandria database.

```
4
Lattice="5.696 0.008 0.005 4.303 3.732 0.005 4.303 1.610 3.367" Properties=species:S:1:pos:R:3 pbc="T T T"
Be 8.246 3.084 1.947
Pt 3.576 1.337 0.844
Tl 10.727 4.012 2.533
Be 13.208 4.940 3.119
```

Output
SG: No. 166

---

entry B is favored, and the nearest alternative lies 11.1 kJ/mol of atoms above it.

---

Entry A
First-principles (PBE-GGA) data for crystalline TmBePt2 at its relaxed geometry, as listed in the Alexandria database.

```
4
Lattice="-1.417 -2.434 1.431 -0.328 -1.448 -2.789 5.718 -2.853 0.809" Properties=species:S:1:pos:R:3 pbc="T T T"
Pt 1.198 -0.598 0.170
Be -0.873 -1.941 -0.679
Pt 4.520 -2.256 0.640
Tm 1.986 -3.368 -0.274
```

Output
SG: No. 123

---

Entry B
First-principles (PBE-GGA) data for crystalline TmBePt2 at its relaxed geometry, as listed in the Alexandria database.

```
4
Lattice="4.078 0.000 0.000 2.039 3.531 0.000 2.039 1.177 4.855" Properties=species:S:1:pos:R:3 pbc="T T T"
Pt 6.117 3.531 3.112
Tm 0.000 0.000 0.000
Pt 2.039 1.177 1.742
Be 4.078 2.354 2.427
```

Output
SG: No. 166

---

Entry C
First-principles (PBE-GGA) data for crystalline TmBePt2 at its relaxed geometry, as listed in the Alexandria database.

```
8
Lattice="-0.424 1.031 3.737 -0.815 -3.837 0.966 8.757 0.484 0.859" Properties=species:S:1:pos:R:3 pbc="T T T"
Pt -0.212 0.516 1.869
Tm 2.374 -0.408 0.382
Pt 2.710 -1.975 2.887
Pt -0.407 -1.919 0.483
Pt 4.809 -0.347 2.676
Be 6.946 -0.714 3.019
Be 0.572 -1.608 2.543
Tm 5.568 -2.945 1.444
```

Output
SG: No. 65

---

entry C is favored, and the nearest alternative lies 13.8 kJ/mol of atoms above it.

---

Entry A
First-principles (PBE-GGA) data for crystalline TmBePt at its relaxed geometry, as listed in the Alexandria database.

```
6
Lattice="4.051 -0.001 0.000 -2.024 3.508 0.000 0.000 0.000 7.415" Properties=species:S:1:pos:R:3 pbc="T T T"
Pt 1.013 0.584 1.854
Be 1.012 0.585 5.561
Be 1.014 2.923 1.854
Pt 1.013 2.924 5.561
Tm -1.012 1.754 0.000
Tm -1.012 1.754 3.708
```

Output
SG: No. 194

---

Entry B
First-principles (PBE-GGA) data for crystalline TmBePt at its relaxed geometry, as listed in the Alexandria database.

```
12
Lattice="4.033 0.000 0.000 0.000 7.441 0.000 0.000 0.000 6.720" Properties=species:S:1:pos:R:3 pbc="T T T"
Be 1.008 0.712 1.277
Be 3.025 6.729 5.443
Tm 3.025 1.425 3.447
Pt 3.025 4.238 4.543
Tm 1.008 6.016 3.273
Pt 1.008 0.518 5.537
Be 1.008 3.009 4.637
Tm 3.025 2.296 0.087
Be 3.025 4.432 2.083
Pt 3.025 6.924 1.183
Tm 1.008 5.146 6.633
Pt 1.008 3.203 2.177
```

Output
SG: No. 62

---

entry B is favored, and the nearest alternative lies 1.5 kJ/mol of atoms above it.

---

Entry A
First-principles (PBE-GGA) data for crystalline Tm2BePt at its relaxed geometry, as listed in the Alexandria database.

```
4
Lattice="3.442 0.000 0.000 0.000 3.442 0.000 0.000 0.000 6.667" Properties=species:S:1:pos:R:3 pbc="T T T"
Be 1.721 1.721 0.000
Pt 1.721 1.721 3.334
Tm 0.000 0.000 5.023
Tm 0.000 0.000 1.644
```

Output
SG: No. 123

---

Entry B
First-principles (PBE-GGA) data for crystalline Tm2BePt at its relaxed geometry, as listed in the Alexandria database.

```
4
Lattice="4.836 0.000 0.000 2.418 4.188 0.000 2.418 1.396 3.948" Properties=species:S:1:pos:R:3 pbc="T T T"
Tm 7.253 4.188 2.961
Be 0.000 0.000 0.000
Pt 4.836 2.792 1.974
Tm 2.418 1.396 0.987
```

Output
SG: No. 225

---

entry A is favored, and the nearest alternative lies 3.2 kJ/mol of atoms above it.

---

Entry A
First-principles (PBE-GGA) data for crystalline UBePt2 at its relaxed geometry, as listed in the Alexandria database.

```
4
Lattice="-0.207 1.823 2.413 -2.834 0.728 -0.793 -2.399 -5.246 3.758" Properties=species:S:1:pos:R:3 pbc="T T T"
Pt -0.480 -1.051 0.753
Be -1.520 1.275 0.810
U -2.720 -1.348 2.689
Pt -1.918 -4.196 3.005
```

Output
SG: No. 123

---

Entry B
First-principles (PBE-GGA) data for crystalline UBePt2 at its relaxed geometry, as listed in the Alexandria database.

```
4
Lattice="-0.855 -0.762 3.896 3.003 -0.295 2.718 0.402 4.439 3.072" Properties=species:S:1:pos:R:3 pbc="T T T"
Be 0.000 0.000 0.000
Pt 1.884 2.965 7.343
Pt 0.666 0.416 2.344
U 1.275 1.691 4.843
```

Output
SG: No. 166

---

entry B is favored, and the nearest alternative lies 6.0 kJ/mol of atoms above it.

---

Entry A
First-principles (PBE-GGA) data for crystalline YBePt at its relaxed geometry, as listed in the Alexandria database.

```
3
Lattice="-4.459 -2.479 1.977 -0.545 -3.535 4.142 2.179 4.756 -1.605" Properties=species:S:1:pos:R:3 pbc="T T T"
Pt -1.867 -2.244 2.283
Y -3.342 -4.016 4.086
Be -4.801 -5.769 5.869
```

Output
SG: No. 44

---

Entry B
First-principles (PBE-GGA) data for crystalline YBePt at its relaxed geometry, as listed in the Alexandria database.

```
6
Lattice="-0.907 -3.673 1.457 1.976 0.351 -3.522 6.721 -0.171 3.753" Properties=species:S:1:pos:R:3 pbc="T T T"
Y 0.988 0.176 -1.761
Pt 1.707 -1.208 0.837
Be 5.068 -1.293 2.713
Be 2.722 -2.199 -1.025
Y 4.348 0.090 0.115
Pt 6.083 -2.283 0.851
```

Output
SG: No. 194

---

Entry C
First-principles (PBE-GGA) data for crystalline YBePt at its relaxed geometry, as listed in the Alexandria database.

```
3
Lattice="4.479 0.000 0.000 2.239 3.879 0.000 2.239 1.293 3.657" Properties=species:S:1:pos:R:3 pbc="T T T"
Pt 6.718 3.879 2.743
Be 4.479 2.586 1.828
Y 0.000 0.000 0.000
```

Output
SG: No. 216

---

entry B is favored, and the nearest alternative lies 25.6 kJ/mol of atoms above it.

---

Entry A
First-principles (PBE-GGA) data for crystalline YBePt4 at its relaxed geometry, as listed in the Alexandria database.

```
6
Lattice="0.000 3.760 3.760 3.760 0.000 3.760 3.760 3.760 0.000" Properties=species:S:1:pos:R:3 pbc="T T T"
Pt 2.814 4.706 4.706
Pt 4.706 2.814 4.706
Pt 4.706 4.706 2.814
Be 0.000 0.000 0.000
Y 5.640 5.640 5.640
Pt 2.814 2.814 2.814
```

Output
SG: No. 216

---

Entry B
First-principles (PBE-GGA) data for crystalline YBePt4 at its relaxed geometry, as listed in the Alexandria database.

```
12
Lattice="3.919 0.000 0.000 0.000 6.442 0.000 -1.960 0.000 7.637" Properties=species:S:1:pos:R:3 pbc="T T T"
Be 0.000 4.832 3.502
Y 0.000 1.611 1.666
Pt 1.960 6.176 2.842
Pt 1.960 3.487 2.842
Y 1.960 4.832 5.971
Be 1.960 1.611 4.135
Pt 1.960 0.000 0.000
Pt 0.000 2.955 4.795
Pt 0.000 4.832 1.256
Pt 1.960 3.221 0.000
Pt 0.000 0.266 4.795
Pt 1.960 1.611 6.381
```

Output
SG: No. 63

---

entry B is favored, and the nearest alternative lies 36.3 kJ/mol of atoms above it.

---

Entry A
First-principles (PBE-GGA) data for crystalline YBeZnPt2 at its relaxed geometry, as listed in the Alexandria database.

```
5
Lattice="3.824 0.000 0.000 0.000 3.824 0.000 -1.912 -1.912 5.952" Properties=species:S:1:pos:R:3 pbc="T T T"
Y 0.000 0.000 0.000
Be 1.912 0.000 2.976
Pt 1.912 1.912 1.374
Pt 0.000 0.000 4.578
Zn 0.000 1.912 2.976
```

Output
SG: No. 119

---

Entry B
First-principles (PBE-GGA) data for crystalline YBeZnPt2 at its relaxed geometry, as listed in the Alexandria database.

```
5
Lattice="-0.256 0.476 4.410 4.344 -0.867 0.346 0.865 4.173 -0.400" Properties=species:S:1:pos:R:3 pbc="T T T"
Zn 0.433 2.086 -0.200
Y 2.476 1.891 2.178
Pt -0.128 0.238 2.205
Be 0.000 0.000 0.000
Pt 2.172 -0.434 0.173
```

Output
SG: No. 123

---

entry A is favored, and the nearest alternative lies 14.8 kJ/mol of atoms above it.

---

Entry A
First-principles (PBE-GGA) data for crystalline BeZnPt at its relaxed geometry, as listed in the Alexandria database.

```
6
Lattice="-0.313 -2.442 -1.210 -1.214 -1.859 4.066 -5.940 1.336 -1.162" Properties=species:S:1:pos:R:3 pbc="T T T"
Pt -6.018 -1.502 1.475
Pt -1.448 -1.464 0.218
Zn -3.577 -0.261 1.452
Be -5.435 0.689 0.012
Be -1.718 -1.212 2.891
Zn -2.970 0.668 -0.581
```

Output
SG: No. 51

---

Entry B
First-principles (PBE-GGA) data for crystalline BeZnPt at its relaxed geometry, as listed in the Alexandria database.

```
6
Lattice="2.831 0.000 0.000 0.000 2.831 0.000 -1.415 -1.415 10.101" Properties=species:S:1:pos:R:3 pbc="T T T"
Be 1.415 1.415 4.451
Pt 1.415 1.415 6.894
Zn 0.000 0.000 8.839
Pt 0.000 0.000 3.207
Zn 1.415 1.415 1.262
Be 0.000 0.000 5.651
```

Output
SG: No. 139

---

entry B is favored, and the nearest alternative lies 13.6 kJ/mol of atoms above it.

---

Entry A
First-principles (PBE-GGA) data for crystalline BeZn2Pt2 at its relaxed geometry, as listed in the Alexandria database.

```
10
Lattice="5.981 0.000 0.000 0.000 5.981 0.000 0.000 0.000 4.089" Properties=species:S:1:pos:R:3 pbc="T T T"
Pt 2.042 5.033 0.000
Zn 5.050 2.060 2.044
Pt 3.938 0.948 0.000
Zn 2.060 0.930 2.044
Pt 5.033 3.938 0.000
Zn 3.921 5.050 2.044
Be 0.000 0.000 0.000
Zn 0.930 3.921 2.044
Pt 0.948 2.042 0.000
Be 2.990 2.990 0.000
```

Output
SG: No. 127

---

Entry B
First-principles (PBE-GGA) data for crystalline BeZn2Pt2 at its relaxed geometry, as listed in the Alexandria database.

```
10
Lattice="-4.341 3.483 4.584 -5.715 -1.909 -3.961 -0.277 -2.380 1.546" Properties=species:S:1:pos:R:3 pbc="T T T"
Be 0.000 0.000 0.000
Zn -2.685 -0.278 -0.908
Zn -7.371 1.852 1.532
Pt -4.746 -1.870 -1.099
Pt -2.548 -0.387 1.578
Zn -3.432 1.939 2.370
Pt -5.586 1.065 3.268
Zn -6.624 -0.365 -1.747
Be -5.028 0.787 0.312
Pt -7.784 -0.419 0.592
```

Output
SG: No. 127

---

entry A is favored, and the nearest alternative lies 28.2 kJ/mol of atoms above it.